Density functional theory data (PBE) for a relaxed structure of Ni2IrI.

POSCAR file:
```
Ni2IrI
1.0
6.213 0.000 0.000
0.000 6.213 0.000
0.000 0.000 6.213
Ni Ir I
8 4 4
direct
0.250 0.250 0.250
0.250 0.250 0.750
0.250 0.750 0.250
0.250 0.750 0.750
0.750 0.250 0.250
0.750 0.250 0.750
0.750 0.750 0.250
0.750 0.750 0.750
0.000 0.000 0.000
0.000 0.500 0.500
0.500 0.000 0.500
0.500 0.500 0.000
0.000 0.000 0.500
0.000 0.500 0.000
0.500 0.000 0.000
0.500 0.500 0.500
```

Calculated values
E above lowest polymorph: 0 meV per atom
Density: 12.1 g/cm³
Formation energy without anion corrections: 74 kJ per mole of atoms